# PBE with a Hubbard U ScMn3F, relaxed
data_ScMn3F
_chemical_formula_sum 'Sc1 Mn3 F1'
_cell_length_a 4.609
_cell_length_b 4.609
_cell_length_c 4.609
_cell_angle_alpha 90.00
_cell_angle_beta 90.00
_cell_angle_gamma 90.00
_space_group_name_H-M_alt 'P 1'
_space_group_IT_number 1
loop_
_space_group_symop_operation_xyz
'x,y,z'
loop_
_atom_site_label
_atom_site_type_symbol
_atom_site_fract_x
_atom_site_fract_y
_atom_site_fract_z
Sc1 Sc 0.500 0.500 0.500
Mn1 Mn 0.000 0.500 0.000
Mn2 Mn 0.000 0.000 0.500
Mn3 Mn 0.500 0.000 0.000
F1 F 0.000 0.000 0.000
# calculated volume	97.88	Å³ per cell
# raw total energy	-6.19	eV per atom
# symmetry	Pm-3m, No. 221

# PBE with a Hubbard U ScMnF2, relaxed
data_ScMnF2
_chemical_formula_sum 'Sc1 Mn1 F2'
_cell_length_a 8.419
_cell_length_b 8.419
_cell_length_c 8.419
_cell_angle_alpha 21.10
_cell_angle_beta 21.10
_cell_angle_gamma 21.10
_space_group_name_H-M_alt 'P 1'
_space_group_IT_number 1
loop_
_space_group_symop_operation_xyz
'x,y,z'
loop_
_atom_site_label
_atom_site_type_symbol
_atom_site_fract_x
_atom_site_fract_y
_atom_site_fract_z
Sc1 Sc 0.500 0.500 0.500
Mn1 Mn 0.000 0.000 0.000
F1 F 0.886 0.886 0.886
F2 F 0.114 0.114 0.114
# calculated volume	67.73	Å³ per cell
# raw total energy	-6.35	eV per atom
# symmetry	R-3m, No. 166

# PBE with a Hubbard U Sc2MnF8, relaxed
data_Sc2MnF8
_chemical_formula_sum 'Sc2 Mn1 F8'
_cell_length_a 4.160
_cell_length_b 6.651
_cell_length_c 6.675
_cell_angle_alpha 120.02
_cell_angle_beta 90.01
_cell_angle_gamma 90.03
_space_group_name_H-M_alt 'P 1'
_space_group_IT_number 1
loop_
_space_group_symop_operation_xyz
'x,y,z'
loop_
_atom_site_label
_atom_site_type_symbol
_atom_site_fract_x
_atom_site_fract_y
_atom_site_fract_z
Sc1 Sc 0.251 0.334 0.667
Sc2 Sc 0.749 0.666 0.333
Mn1 Mn 0.000 0.000 0.000
F1 F 0.252 0.665 0.332
F2 F 0.748 0.335 0.668
F3 F 0.757 0.834 0.164
F4 F 0.243 0.165 0.332
F5 F 0.243 0.672 0.835
F6 F 0.243 0.166 0.836
F7 F 0.757 0.835 0.668
F8 F 0.757 0.328 0.165
# calculated volume	159.90	Å³ per cell
# raw total energy	-6.69	eV per atom
# symmetry	P-1, No. 2

# PBE with a Hubbard U ScMnF2, relaxed
data_ScMnF2
_chemical_formula_sum 'Sc2 Mn2 F4'
_cell_length_a 5.281
_cell_length_b 5.281
_cell_length_c 6.879
_cell_angle_alpha 67.43
_cell_angle_beta 67.43
_cell_angle_gamma 90.00
_space_group_name_H-M_alt 'P 1'
_space_group_IT_number 1
loop_
_space_group_symop_operation_xyz
'x,y,z'
loop_
_atom_site_label
_atom_site_type_symbol
_atom_site_fract_x
_atom_site_fract_y
_atom_site_fract_z
Sc1 Sc 0.500 0.500 0.000
Sc2 Sc 0.250 0.750 0.500
Mn1 Mn 0.000 0.000 0.000
Mn2 Mn 0.750 0.250 0.500
F1 F 0.474 0.125 0.250
F2 F 0.276 0.625 0.250
F3 F 0.375 0.526 0.750
F4 F 0.875 0.724 0.750
# calculated volume	161.11	Å³ per cell
# raw total energy	-6.23	eV per atom
# symmetry	I-42d, No. 122